NdZn4Cd: relaxed, GGA-PBE.

abc: 3.6663 8.1387 16.5308
angles: 90.00 90.00 90.00
Positions (direct):
Nd 0.0000 0.3789 0.6619
Nd 0.0000 0.1211 0.1619
Nd 0.0000 0.8789 0.8381
Nd 0.0000 0.6211 0.3381
Zn 0.5000 0.2823 0.3076
Zn 0.5000 0.3855 0.4538
Zn 0.5000 0.2177 0.8076
Zn 0.5000 0.8565 0.4498
Zn 0.5000 0.8855 0.0462
Zn 0.5000 0.6435 0.9498
Zn 0.5000 0.3565 0.0502
Zn 0.5000 0.7823 0.1924
Zn 0.5000 0.6145 0.5462
Zn 0.5000 0.1435 0.5502
Zn 0.5000 0.1145 0.9538
Zn 0.5000 0.4663 0.1930
Zn 0.5000 0.9663 0.3070
Zn 0.5000 0.0337 0.6930
Zn 0.5000 0.5337 0.8070
Zn 0.5000 0.7177 0.6924
Cd 0.0000 0.6262 0.0862
Cd 0.0000 0.3738 0.9138
Cd 0.0000 0.1262 0.4138
Cd 0.0000 0.8738 0.5862

- Formation enthalpy at 0 K: -160 meV per atom
- D(E_F): 0.37 states/eV per atom

Nd2ZnCd: relaxed, GGA-PBE.

abc: 3.7081 3.7081 9.9518
angles: 79.26 79.26 60.00
Positions (direct):
Nd 0.7441 0.7441 0.7676
Nd 0.2559 0.2559 0.2324
Cd 0.5000 0.5000 0.5000
Zn 0.0000 0.0000 0.0000

- Formation enthalpy at 0 K: -113 meV per atom
- ΔE to the lowest computed polymorph: 4.73 kcal/mol of atoms
- D(E_F): 1.03 states/eV per atom

Nd2ZnCd: relaxed, GGA-PBE.

abc: 3.7405 3.7405 7.6516
angles: 90.00 90.00 90.00
Positions (direct):
Nd 0.0000 0.0000 0.2304
Nd 0.0000 0.0000 0.7696
Cd 0.5000 0.5000 0.5000
Zn 0.5000 0.5000 0.0000

- Formation enthalpy at 0 K: -318 meV per atom
- ΔE to the lowest computed polymorph: 0.00 kcal/mol of atoms
- D(E_F): 1.03 states/eV per atom